(1)
Entry from Alexandria via LeMat-Bulk: SiBi3N after structural relaxation (PBE).

Formation energy (no corrections) in eV/atom: 0.7525
Offset from the most stable computed form in kJ/mol of formula units: 0

Cell: 4.9403 4.9403 4.9403 Å, 90.00 90.00 90.00°
Element x y z (fractional)
1 Bi 0.0000 0.5000 0.0000
2 Bi 0.0000 0.0000 0.5000
3 Bi 0.5000 0.0000 0.0000
4 Si 0.5000 0.5000 0.5000
5 N 0.0000 0.0000 0.0000



(2)
Entry from Alexandria via LeMat-Bulk: Si5Au after structural relaxation (PBE).

Formation energy (no corrections) in eV/atom: 0.4417
Offset from the most stable computed form in kJ/mol of formula units: 102

Cell: 2.9688 2.9688 10.4535 Å, 90.00 90.00 90.00°
Element x y z (fractional)
1 Si 0.0000 0.0000 0.1839
2 Si 0.0000 0.0000 0.8161
3 Si 0.5000 0.5000 0.3438
4 Si 0.5000 0.5000 0.6562
5 Si 0.0000 0.0000 0.5000
6 Au 0.5000 0.5000 0.0000



(3)
Entry from Alexandria via LeMat-Bulk: Rb2YBe after structural relaxation (PBE).

Formation enthalpy at 0 K in eV per atom: 0.9128

Cell: 12.9435 12.9435 9.5355 Å, 47.26 47.26 90.00°
Element x y z (fractional)
1 Be 0.2500 0.7500 0.5000
2 Be 0.5000 0.5000 0.0000
3 Rb 0.8750 0.7267 0.7500
4 Rb 0.4767 0.1250 0.2500
5 Rb 0.3750 0.5233 0.7500
6 Rb 0.2733 0.6250 0.2500
7 Y 0.7500 0.2500 0.5000
8 Y 0.0000 0.0000 0.0000



no.,volume (Å³/atom),DFT total energy (eV per cell)
1,24.12,-21.63
2,15.36,-27.74
3,56.03,-16.95